The following is a PBE-GGA calculation of an optimized crystal structure of HoTa2NbC4, from Alexandria via LeMat-Bulk.

Computed properties:
Calculated volume   107 Å³/f.u.
Crystal system   orthorhombic
ΔE_f   -0.258 eV per atom
N(E_F)   3.1 states/eV/f.u.

Cell lengths 3.2290, 11.4074, 11.5926 Å; angles 90.00, 90.00, 90.00 degrees
Space group Cmcm (No. 63)
Symmetry-distinct sites (fractional):
Ho (0.0000, 0.1380, 0.2500) (multiplicity 4)
Ta (0.0000, 0.3685, 0.0275) (multiplicity 8)
Nb (0.0000, 0.1338, 0.7500) (multiplicity 4)
C (0.0000, 0.0000, 0.0000) (multiplicity 4)
C (0.0000, 0.2532, 0.6120) (multiplicity 8)
C (0.0000, 0.4769, 0.2500) (multiplicity 4)

The following is a PBE-GGA calculation of an optimized crystal structure of HoNb2TcC4, from Alexandria via LeMat-Bulk.

Computed properties:
Calculated volume   103 Å³/f.u.
Crystal system   orthorhombic
ΔE_f   -0.214 eV per atom
N(E_F)   2.5 states/eV/f.u.

Cell lengths 3.2446, 11.3019, 11.1989 Å; angles 90.00, 90.00, 90.00 degrees
Space group Cmcm (No. 63)
Symmetry-distinct sites (fractional):
Ho (0.0000, 0.1138, 0.2500) (multiplicity 4)
Nb (0.0000, 0.3697, 0.0349) (multiplicity 8)
Tc (0.0000, 0.1509, 0.7500) (multiplicity 4)
C (0.0000, 0.0000, 0.0000) (multiplicity 4)
C (0.0000, 0.2627, 0.6161) (multiplicity 8)
C (0.0000, 0.4483, 0.2500) (multiplicity 4)

The following is a PBE-GGA calculation of an optimized crystal structure of Ho2UNbC4, from Alexandria via LeMat-Bulk.

Computed properties:
Calculated volume   115 Å³/f.u.
Crystal system   orthorhombic
ΔE_f   -0.386 eV per atom
N(E_F)   3.2 states/eV/f.u.

Cell lengths 6.8075, 6.9683, 9.7041 Å; angles 90.00, 90.00, 90.00 degrees
Space group Imma (No. 74)
Symmetry-distinct sites (fractional):
Ho (0.0000, 0.0000, 0.0000) (multiplicity 4)
Ho (0.2500, 0.2500, 0.2500) (multiplicity 4)
U (0.0000, 0.0000, 0.5000) (multiplicity 4)
Nb (0.2500, 0.2500, 0.7500) (multiplicity 4)
C (0.0000, 0.0215, 0.7404) (multiplicity 8)
C (0.2293, 0.2500, 0.5148) (multiplicity 8)

The following is a PBE-GGA calculation of an optimized crystal structure of NdHo3C8, from Alexandria via LeMat-Bulk.

Computed properties:
Calculated volume   185 Å³/f.u.
Crystal system   orthorhombic
ΔE_f   0.126 eV per atom
N(E_F)   3.8 states/eV/f.u.

Cell lengths 9.4462, 9.6831, 8.1030 Å; angles 90.00, 90.00, 90.00 degrees
Space group Fmm2 (No. 42)
Symmetry-distinct sites (fractional):
Nd (0.0000, 0.0000, 0.0000) (multiplicity 4)
Ho (0.0000, 0.0000, 0.5037) (multiplicity 4)
Ho (0.2500, 0.2500, 0.2346) (multiplicity 8)
C (0.0000, 0.1709, 0.7396) (multiplicity 8)
C (0.0000, 0.2456, 0.3658) (multiplicity 8)
C (0.1714, 0.0000, 0.2706) (multiplicity 8)
C (0.2415, 0.0000, 0.6467) (multiplicity 8)

The following is a PBE-GGA calculation of an optimized crystal structure of NdHo2C, from Alexandria via LeMat-Bulk.

Computed properties:
Excess energy over the best structure of this formula in the dataset   0.0117 eV/atom
Calculated volume   103 Å³/f.u.
Crystal system   trigonal
ΔE_f   -0.179 eV per atom
N(E_F)   3.9 states/eV/f.u.

Cell lengths 3.5760, 3.5760, 27.8768 Å; angles 90.00, 90.00, 120.00 degrees
Space group R-3m (No. 166, hexagonal axes)
Symmetry-distinct sites (fractional):
Nd (0.0000, 0.0000, 0.0000) (multiplicity 3)
Ho (0.0000, 0.0000, 0.2150) (multiplicity 6)
C (0.0000, 0.0000, 0.5000) (multiplicity 3)

The following is a PBE-GGA calculation of an optimized crystal structure of NdHo2C, from Alexandria via LeMat-Bulk.

Computed properties:
Excess energy over the best structure of this formula in the dataset   0.0000 eV/atom
Calculated volume   103 Å³/f.u.
Crystal system   trigonal
ΔE_f   -0.191 eV per atom
N(E_F)   3.8 states/eV/f.u.

Cell lengths 3.5800, 3.5800, 27.7319 Å; angles 90.00, 90.00, 120.00 degrees
Space group R3m (No. 160, hexagonal axes)
Symmetry-distinct sites (fractional):
Nd (0.0000, 0.0000, 0.0000) (multiplicity 3)
Ho (0.0000, 0.0000, 0.5469) (multiplicity 3)
Ho (0.0000, 0.0000, 0.7834) (multiplicity 3)
C (0.0000, 0.0000, 0.1648) (multiplicity 3)

The following is a PBE-GGA calculation of an optimized crystal structure of NdHoC, from Alexandria via LeMat-Bulk.

Computed properties:
Excess energy over the best structure of this formula in the dataset   0.0046 eV/atom
Calculated volume   73 Å³/f.u.
Crystal system   trigonal
ΔE_f   -0.177 eV per atom
N(E_F)   2.4 states/eV/f.u.

Cell lengths 3.6115, 3.6115, 6.4738 Å; angles 90.00, 90.00, 120.00 degrees
Space group P3m1 (No. 156)
Symmetry-distinct sites (fractional):
Nd (0.0000, 0.0000, 0.0000) (multiplicity 1)
Ho (0.3333, 0.6667, 0.4267) (multiplicity 1)
C (0.6667, 0.3333, 0.2313) (multiplicity 1)

The following is a PBE-GGA calculation of an optimized crystal structure of NdHoC, from Alexandria via LeMat-Bulk.

Computed properties:
Excess energy over the best structure of this formula in the dataset   0.0000 eV/atom
Calculated volume   73 Å³/f.u.
Crystal system   monoclinic
ΔE_f   -0.182 eV per atom
N(E_F)   2.2 states/eV/f.u.

Cell lengths 12.9358, 3.6272, 6.2907 Å; angles 90.00, 98.62, 90.00 degrees
Space group C2/m (No. 12)
Symmetry-distinct sites (fractional):
Nd (0.1135, 0.0000, 0.3681) (multiplicity 4)
Ho (0.1022, 0.5000, 0.8647) (multiplicity 4)
C (0.0000, 0.0000, 0.0000) (multiplicity 2)
C (0.0000, 0.5000, 0.5000) (multiplicity 2)

The following is a PBE-GGA calculation of an optimized crystal structure of NdHoC, from Alexandria via LeMat-Bulk.

Computed properties:
Excess energy over the best structure of this formula in the dataset   0.0973 eV/atom
Calculated volume   68 Å³/f.u.
Crystal system   tetragonal
ΔE_f   -0.084 eV per atom
N(E_F)   1.8 states/eV/f.u.

Cell lengths 5.0305, 5.0305, 5.3493 Å; angles 90.00, 90.00, 90.00 degrees
Space group P4/nmm (No. 129, origin choice 2)
Symmetry-distinct sites (fractional):
Nd (0.2500, 0.2500, 0.0120) (multiplicity 2)
Ho (0.2500, 0.7500, 0.5000) (multiplicity 2)
C (0.2500, 0.2500, 0.5598) (multiplicity 2)

The following is a PBE-GGA calculation of an optimized crystal structure of Nd3HoC, from Alexandria via LeMat-Bulk.

Computed properties:
Calculated volume   143 Å³/f.u.
Crystal system   cubic
ΔE_f   0.101 eV per atom
N(E_F)   6.5 states/eV/f.u.

Cell lengths 5.2310, 5.2310, 5.2310 Å; angles 90.00, 90.00, 90.00 degrees
Space group Pm-3m (No. 221)
Symmetry-distinct sites (fractional):
Nd (0.0000, 0.0000, 0.5000) (multiplicity 3)
Ho (0.5000, 0.5000, 0.5000) (multiplicity 1)
C (0.0000, 0.0000, 0.0000) (multiplicity 1)

The following is a PBE-GGA calculation of an optimized crystal structure of NdHo2C3, from Alexandria via LeMat-Bulk.

Computed properties:
Calculated volume   111 Å³/f.u.
Crystal system   orthorhombic
ΔE_f   -0.058 eV per atom
N(E_F)   3.2 states/eV/f.u.

Cell lengths 5.6815, 10.5045, 7.4540 Å; angles 90.00, 90.00, 90.00 degrees
Space group Imma (No. 74)
Symmetry-distinct sites (fractional):
Nd (0.0000, 0.2500, 0.0445) (multiplicity 4)
Ho (0.0000, 0.0790, 0.6671) (multiplicity 8)
C (0.1203, 0.0000, 0.0000) (multiplicity 8)
C (0.2500, 0.2500, 0.7500) (multiplicity 4)

The following is a PBE-GGA calculation of an optimized crystal structure of NdHo2OsC2, from Alexandria via LeMat-Bulk.

Computed properties:
Calculated volume   118 Å³/f.u.
Crystal system   orthorhombic
ΔE_f   -0.204 eV per atom
N(E_F)   3.5 states/eV/f.u.

Cell lengths 5.6617, 11.0355, 3.7828 Å; angles 90.00, 90.00, 90.00 degrees
Space group Pnnm (No. 58)
Symmetry-distinct sites (fractional):
Nd (0.0000, 0.0000, 0.0000) (multiplicity 2)
Ho (0.0293, 0.2963, 0.5000) (multiplicity 4)
Os (0.0000, 0.5000, 0.0000) (multiplicity 2)
C (0.2469, 0.8746, 0.5000) (multiplicity 4)